[1]
! Li2Pt | Alexandria | meta-GGA SCAN | single point on PBEsol structure; values from VASP
&SYSTEM
  ibrav = 0, nat = 9, ntyp = 2
/
ATOMIC_SPECIES
Pt 195.08 Pt.upf
Li 6.94 Li.upf
CELL_PARAMETERS angstrom
-1.129 -1.711 1.691
6.636 -2.468 1.935
-3.037 5.603 3.641
ATOMIC_POSITIONS crystal
Pt 0.500 0.000 0.000
Pt 0.000 0.667 0.333
Pt 0.000 0.333 0.667
Li 0.000 0.304 0.000
Li 0.500 0.636 0.000
Li 0.000 0.000 0.304
Li 0.500 0.000 0.636
Li 0.000 0.696 0.696
Li 0.500 0.364 0.364
! Space-group type   P-62m (189)


[2]
! LiPt7 | Alexandria | meta-GGA SCAN | single point on PBEsol structure; values from VASP
&SYSTEM
  ibrav = 0, nat = 8, ntyp = 2
/
ATOMIC_SPECIES
Li 6.94 Li.upf
Pt 195.08 Pt.upf
CELL_PARAMETERS angstrom
5.481 0.000 0.000
2.741 4.747 0.000
2.741 1.582 4.475
ATOMIC_POSITIONS crystal
Li 0.500 0.500 0.500
Pt 0.000 0.000 0.000
Pt 0.500 0.000 0.000
Pt 0.000 0.500 0.500
Pt 0.000 0.500 0.000
Pt 0.500 0.000 0.500
Pt 0.000 0.000 0.500
Pt 0.500 0.500 0.000
! Space-group type   Fm-3m (225)


Number 1: calculated formation energy -607 meV per atom, raw total energy -230.38 eV for the cell shown. Number 2: calculated formation energy -274 meV per atom, raw total energy -495.93 eV for the cell shown.